(one)
DFT (meta-GGA SCAN) results for YAgBr2 at its PBEsol-relaxed geometry.

Computed properties:
Its symmetry is F-43m. For the magnetic moment, the calculation gives 0.00 μB/f.u.

extended XYZ file:
```
4
Lattice="0.0000 3.6023 3.6023 3.6023 0.0000 3.6023 3.6023 3.6023 0.0000" Properties=species:S:1:pos:R:3 pbc="T T T"
Y 0.0000 0.0000 0.0000
Ag 5.4035 5.4035 5.4035
Br 1.8012 1.8012 1.8012
Br 3.6023 3.6023 3.6023
```


(two)
DFT (meta-GGA SCAN) results for YAgBr2 at its PBEsol-relaxed geometry.

Computed properties:
Its symmetry is P4mm. The density of states at the Fermi level comes out at 0.08 states/eV per atom. For the magnetic moment, the calculation gives 0.00 μB/f.u.

extended XYZ file:
```
4
Lattice="3.6250 0.0000 0.0000 0.0000 3.6250 0.0000 0.0000 0.0000 7.7051" Properties=species:S:1:pos:R:3 pbc="T T T"
Y 0.0000 0.0000 0.0000
Ag 1.8125 1.8125 1.6034
Br 0.0000 0.0000 2.8871
Br 1.8125 1.8125 5.8541
```


(three)
DFT (meta-GGA SCAN) results for YAgBr2 at its PBEsol-relaxed geometry.

Computed properties:
Its symmetry is R-3m. The density of states at the Fermi level comes out at 0.45 states/eV per atom. For the magnetic moment, the calculation gives 0.00 μB/f.u.

extended XYZ file:
```
4
Lattice="1.7996 1.0390 9.2783 -1.7996 1.0390 9.2783 0.0000 -2.0780 9.2783" Properties=species:S:1:pos:R:3 pbc="T T T"
Y 0.0000 0.0000 0.0000
Ag 0.0000 0.0000 13.9174
Br 0.0000 0.0000 7.3659
Br 0.0000 0.0000 20.4689
```


(four)
DFT (meta-GGA SCAN) results for YAgBr2 at its PBEsol-relaxed geometry.

Computed properties:
Its symmetry is P4/mmm. The density of states at the Fermi level comes out at 0.37 states/eV per atom. For the magnetic moment, the calculation gives 0.00 μB/f.u.

extended XYZ file:
```
4
Lattice="3.3916 0.0000 0.0000 0.0000 3.3916 0.0000 0.0000 0.0000 9.3421" Properties=species:S:1:pos:R:3 pbc="T T T"
Y 0.0000 0.0000 0.0000
Ag 0.0000 0.0000 4.6711
Br 1.6958 1.6958 1.6905
Br 1.6958 1.6958 7.6516
```


Best to worst by energy: (two), (three), (four), (one).